Record 1
Entry from the Alexandria database: crystalline Dy2Ge3 at its relaxed geometry (PBE).

Lattice parameters (Å, degrees): 7.2793 7.2793 4.1671 90.00 90.00 90.00
Fractional positions:
Dy (0.1793, 0.3207, 0.0000)
Dy (0.3207, 0.8207, 0.0000)
Dy (0.6793, 0.1793, 0.0000)
Dy (0.8207, 0.6793, 0.0000)
Ge (0.0000, 0.0000, 0.5000)
Ge (0.1232, 0.6232, 0.5000)
Ge (0.3768, 0.1232, 0.5000)
Ge (0.5000, 0.5000, 0.5000)
Ge (0.6232, 0.8768, 0.5000)
Ge (0.8768, 0.3768, 0.5000)

Properties
* formation energy: -3.443 eV per formula unit
* VASP energy: -53.0 eV for the cell shown
* E above lowest polymorph: 50.2 meV/atom
* total magnetization: 0.00 μB/f.u.
* SG: P4/mbm, No. 127

Record 2
Entry from the Alexandria database: crystalline DyGe3 at its relaxed geometry (PBE).

Lattice parameters (Å, degrees): 5.6660 5.6660 5.6660 137.71 137.71 61.35
Fractional positions:
Dy (0.0000, 0.0000, 0.0000)
Ge (0.2500, 0.7500, 0.5000)
Ge (0.5000, 0.5000, 0.0000)
Ge (0.7500, 0.2500, 0.5000)

Properties
* formation energy: -1.374 eV per formula unit
* VASP energy: -19.8 eV for the cell shown
* total magnetization: 0.00 μB/f.u.
* SG: I4/mmm, No. 139

Record 3
Entry from the Alexandria database: crystalline Dy3Ge5 at its relaxed geometry (PBE).

Lattice parameters (Å, degrees): 6.9157 6.9157 8.3397 90.00 90.00 120.00
Fractional positions:
Dy (0.0000, 0.3319, 0.0000)
Dy (0.0000, 0.3319, 0.5000)
Dy (0.3319, 0.0000, 0.0000)
Dy (0.3319, 0.0000, 0.5000)
Dy (0.6681, 0.6681, 0.0000)
Dy (0.6681, 0.6681, 0.5000)
Ge (0.0000, 0.0000, 0.2500)
Ge (0.0000, 0.0000, 0.7500)
Ge (0.0741, 0.6696, 0.2500)
Ge (0.3304, 0.4044, 0.2500)
Ge (0.3333, 0.6667, 0.7500)
Ge (0.4044, 0.3304, 0.7500)
Ge (0.5956, 0.9259, 0.2500)
Ge (0.6667, 0.3333, 0.2500)
Ge (0.6696, 0.0741, 0.7500)
Ge (0.9259, 0.5956, 0.7500)

Properties
* formation energy: -5.730 eV per formula unit
* VASP energy: -85.2 eV for the cell shown
* total magnetization: 0.00 μB/f.u.
* SG: P-62c, No. 190

Record 4
Entry from the Alexandria database: crystalline Dy5Ge3 at its relaxed geometry (PBE).

Lattice parameters (Å, degrees): 8.5090 8.5090 6.4200 90.00 90.00 120.00
Fractional positions:
Dy (0.0000, 0.2416, 0.2500)
Dy (0.0000, 0.7584, 0.7500)
Dy (0.2416, 0.0000, 0.2500)
Dy (0.2416, 0.2416, 0.7500)
Dy (0.3333, 0.6667, 0.0000)
Dy (0.3333, 0.6667, 0.5000)
Dy (0.6667, 0.3333, 0.0000)
Dy (0.6667, 0.3333, 0.5000)
Dy (0.7584, 0.0000, 0.7500)
Dy (0.7584, 0.7584, 0.2500)
Ge (0.0000, 0.3939, 0.7500)
Ge (0.0000, 0.6061, 0.2500)
Ge (0.3939, 0.0000, 0.7500)
Ge (0.3939, 0.3939, 0.2500)
Ge (0.6061, 0.0000, 0.2500)
Ge (0.6061, 0.6061, 0.7500)

Properties
* formation energy: -6.392 eV per formula unit
* VASP energy: -86.5 eV for the cell shown
* total magnetization: 0.00 μB/f.u.
* SG: P6_3/mcm, No. 193

Record 5
Entry from the Alexandria database: crystalline DyGe at its relaxed geometry (PBE).

Lattice parameters (Å, degrees): 6.9143 6.9143 6.4839 90.00 90.00 143.77
Fractional positions:
Dy (0.0465, 0.9535, 0.7500)
Dy (0.2240, 0.7760, 0.2500)
Dy (0.7760, 0.2240, 0.7500)
Dy (0.9535, 0.0465, 0.2500)
Ge (0.3971, 0.6029, 0.5467)
Ge (0.3971, 0.6029, 0.9533)
Ge (0.6029, 0.3971, 0.0467)
Ge (0.6029, 0.3971, 0.4533)

Properties
* formation energy: -1.710 eV per formula unit
* VASP energy: -43.7 eV for the cell shown
* total magnetization: 0.00 μB/f.u.
* SG: Cmcm, No. 63

Record 6
Entry from the Alexandria database: crystalline DyGe at its relaxed geometry (PBE).

Lattice parameters (Å, degrees): 5.7769 5.7769 3.9694 90.00 90.00 136.48
Fractional positions:
Dy (0.1379, 0.8621, 0.7500)
Dy (0.8621, 0.1379, 0.2500)
Ge (0.4144, 0.5856, 0.7500)
Ge (0.5856, 0.4144, 0.2500)

Properties
* formation energy: -1.744 eV per formula unit
* VASP energy: -21.9 eV for the cell shown
* total magnetization: 0.00 μB/f.u.
* SG: Cmcm, No. 63

Record 7
Entry from the Alexandria database: crystalline DyGe5 at its relaxed geometry (PBE).

Lattice parameters (Å, degrees): 7.1648 7.1648 3.7298 90.00 90.00 140.96
Fractional positions:
Dy (0.0000, 0.0000, 0.0000)
Ge (0.1883, 0.8117, 0.5000)
Ge (0.3462, 0.6538, 0.0000)
Ge (0.5000, 0.5000, 0.5000)
Ge (0.6538, 0.3462, 0.0000)
Ge (0.8117, 0.1883, 0.5000)

Properties
* formation energy: -0.627 eV per formula unit
* VASP energy: -28.3 eV for the cell shown
* total magnetization: 0.00 μB/f.u.
* SG: Cmmm, No. 65

Record 8
Entry from the Alexandria database: crystalline DyGe2 at its relaxed geometry (PBE).

Lattice parameters (Å, degrees): 5.6294 5.6294 5.6294 60.00 60.00 60.00
Fractional positions:
Dy (0.1250, 0.1250, 0.1250)
Dy (0.8750, 0.8750, 0.8750)
Ge (0.0000, 0.5000, 0.5000)
Ge (0.5000, 0.0000, 0.5000)
Ge (0.5000, 0.5000, 0.0000)
Ge (0.5000, 0.5000, 0.5000)

Properties
* formation energy: -0.917 eV per formula unit
* VASP energy: -29.5 eV for the cell shown
* total magnetization: 0.00 μB/f.u.
* SG: Fd-3m, No. 227

Record 9
Entry from the Alexandria database: crystalline Dy5Ge at its relaxed geometry (PBE).

Lattice parameters (Å, degrees): 7.7463 7.7463 4.7888 90.00 90.00 144.68
Fractional positions:
Dy (0.0000, 0.0000, 0.0000)
Dy (0.1580, 0.8420, 0.5000)
Dy (0.3354, 0.6646, 0.0000)
Dy (0.6646, 0.3354, 0.0000)
Dy (0.8420, 0.1580, 0.5000)
Ge (0.5000, 0.5000, 0.5000)

Properties
* formation energy: -1.134 eV per formula unit
* VASP energy: -28.8 eV for the cell shown
* total magnetization: 0.00 μB/f.u.
* SG: Cmmm, No. 65

Record 10
Entry from the Alexandria database: crystalline Dy5Ge6 at its relaxed geometry (PBE).

Lattice parameters (Å, degrees): 14.7186 14.7186 4.2428 90.00 90.00 164.40
Fractional positions:
Dy (0.0000, 0.0000, 0.0000)
Dy (0.1995, 0.8005, 0.5000)
Dy (0.3852, 0.6148, 0.0000)
Dy (0.6148, 0.3852, 0.0000)
Dy (0.8005, 0.1995, 0.5000)
Ge (0.1007, 0.8993, 0.5000)
Ge (0.2816, 0.7184, 0.0000)
Ge (0.4579, 0.5421, 0.5000)
Ge (0.5421, 0.4579, 0.5000)
Ge (0.7184, 0.2816, 0.0000)
Ge (0.8993, 0.1007, 0.5000)

Properties
* formation energy: -8.527 eV per formula unit
* VASP energy: -59.2 eV for the cell shown
* total magnetization: 0.00 μB/f.u.
* SG: Cmmm, No. 65

Record 11
Entry from the Alexandria database: crystalline DyGe at its relaxed geometry (PBE).

Lattice parameters (Å, degrees): 11.1682 11.1682 11.1682 158.74 158.74 30.25
Fractional positions:
Dy (0.0689, 0.3189, 0.7500)
Dy (0.3189, 0.0689, 0.2500)
Dy (0.6811, 0.9311, 0.7500)
Dy (0.9311, 0.6811, 0.2500)
Ge (0.2072, 0.4572, 0.7500)
Ge (0.4572, 0.2072, 0.2500)
Ge (0.5428, 0.7928, 0.7500)
Ge (0.7928, 0.5428, 0.2500)

Properties
* formation energy: -1.702 eV per formula unit
* VASP energy: -43.7 eV for the cell shown
* total magnetization: 0.00 μB/f.u.
* SG: I4_1/amd, No. 141

Record 12
Entry from the Alexandria database: crystalline DyGe2 at its relaxed geometry (PBE).

Lattice parameters (Å, degrees): 6.1357 4.0566 10.3493 90.00 90.00 90.00
Fractional positions:
Dy (0.1687, 0.2500, 0.1161)
Dy (0.3313, 0.7500, 0.6161)
Dy (0.6687, 0.2500, 0.3839)
Dy (0.8313, 0.7500, 0.8839)
Ge (0.1596, 0.2500, 0.4241)
Ge (0.1597, 0.2500, 0.8009)
Ge (0.3403, 0.7500, 0.3009)
Ge (0.3404, 0.7500, 0.9241)
Ge (0.6596, 0.2500, 0.0759)
Ge (0.6597, 0.2500, 0.6991)
Ge (0.8403, 0.7500, 0.1991)
Ge (0.8404, 0.7500, 0.5759)

Properties
* formation energy: -1.745 eV per formula unit
* VASP energy: -62.3 eV for the cell shown
* total magnetization: 0.00 μB/f.u.
* SG: Pnma, No. 62

Copy entry 11 word for word.
Entry from the Alexandria database: crystalline DyGe at its relaxed geometry (PBE).

Lattice parameters (Å, degrees): 11.1682 11.1682 11.1682 158.74 158.74 30.25
Fractional positions:
Dy (0.0689, 0.3189, 0.7500)
Dy (0.3189, 0.0689, 0.2500)
Dy (0.6811, 0.9311, 0.7500)
Dy (0.9311, 0.6811, 0.2500)
Ge (0.2072, 0.4572, 0.7500)
Ge (0.4572, 0.2072, 0.2500)
Ge (0.5428, 0.7928, 0.7500)
Ge (0.7928, 0.5428, 0.2500)

Properties
* formation energy: -1.702 eV per formula unit
* VASP energy: -43.7 eV for the cell shown
* total magnetization: 0.00 μB/f.u.
* SG: I4_1/amd, No. 141